Computed, not measured: a geometry-optimized Tb3Pm2Y8 structure at the PBE level of DFT.

```
Tb3Pm2Y8
1.0
3.5245 0.0000 0.0000
0.0000 11.7863 0.0000
0.0000 0.0000 20.7652
Tb Pm Y
6 4 16
Direct
0.0000 0.0000 0.0000 Tb
0.0000 0.5000 0.5000 Tb
0.0000 0.6457 0.2010 Tb
0.0000 0.3543 0.7990 Tb
0.0000 0.1457 0.2990 Tb
0.0000 0.8543 0.7010 Tb
0.5000 0.8208 0.0983 Pm
0.5000 0.1792 0.9017 Pm
0.5000 0.3208 0.4017 Pm
0.5000 0.6792 0.5983 Pm
0.0000 0.7083 0.9473 Y
0.0000 0.2917 0.0527 Y
0.0000 0.2083 0.5527 Y
0.0000 0.7917 0.4473 Y
0.0000 0.0545 0.1586 Y
0.0000 0.9455 0.8414 Y
0.0000 0.5545 0.3414 Y
0.0000 0.4455 0.6586 Y
0.5000 0.8712 0.2864 Y
0.5000 0.1288 0.7136 Y
0.5000 0.3712 0.2136 Y
0.5000 0.6288 0.7864 Y
0.5000 0.5453 0.0717 Y
0.5000 0.4547 0.9283 Y
0.5000 0.0453 0.4283 Y
0.5000 0.9547 0.5717 Y
```

Values from the calculation:
Calculated formation energy = 144 meV/atom
Polymorph energy (0 for the lowest one) = 0 meV/atom
Fermi-level density of states = 20.2 states/eV/f.u.